# La2PrNdSm2

A geometry-optimized La2PrNdSm2 structure (GGA-PBE, the Alexandria database).

abc: 6.763 18.439 3.492
angles: 90.00 90.00 90.00
Atoms (fractional coordinates):
La 0.222 0.186 0.000
La 0.278 0.686 0.500
La 0.722 0.314 0.500
La 0.778 0.814 0.000
Pr 0.000 0.000 0.000
Pr 0.500 0.500 0.500
Nd 0.000 0.500 0.000
Nd 0.500 0.000 0.500
Sm 0.218 0.353 0.500
Sm 0.282 0.853 0.000
Sm 0.718 0.147 0.000
Sm 0.782 0.647 0.500

Computed properties:
space group	Pnnm, No. 58
V	36.289	Å³ per atom
crystal system	orthorhombic
formation energy from the elements	22.1	kJ per mole of atoms

# Fe3MoC

A geometry-optimized Fe3MoC structure (GGA-PBE, the Alexandria database).

abc: 4.449 4.449 4.449
angles: 90.00 90.00 90.00
Atoms (fractional coordinates):
Fe 0.000 0.000 0.500
Fe 0.000 0.500 0.000
Fe 0.500 0.000 0.000
Mo 0.000 0.000 0.000
C 0.500 0.500 0.500

Computed properties:
space group	Pm-3m, No. 221
V	17.613	Å³ per atom
crystal system	cubic
ΔE to the lowest computed polymorph	2.543	eV per atom
formation energy from the elements	263.1	kJ per mole of atoms

# BaPRh3

A geometry-optimized BaPRh3 structure (GGA-PBE, the Alexandria database).

abc: 5.035 5.035 5.035
angles: 90.00 90.00 90.00
Atoms (fractional coordinates):
Ba 0.000 0.000 0.000
P 0.500 0.500 0.500
Rh 0.000 0.000 0.500
Rh 0.000 0.500 0.000
Rh 0.500 0.000 0.000

Computed properties:
space group	Pm-3m, No. 221
V	25.527	Å³ per atom
crystal system	cubic
ΔE to the lowest computed polymorph	2.480	eV per atom
formation energy from the elements	199.9	kJ per mole of atoms